Entry 1:
## CePmTe2 (PBE-GGA)

Data for crystalline CePmTe2 at its relaxed geometry.

Computed properties:
As for the theoretical density: 5516 kg/m3. Its excess energy over the best structure of this formula in the dataset is 0.545 eV per atom. The value obtained for the formation energy without anion corrections is -0.848 eV/atom. The value obtained for the total magnetic moment is 1.19 μB/f.u.

a = 4.3540 Å, b = 4.3540 Å, c = 29.7257 Å
α = 90.00°, β = 90.00°, γ = 120.00°
Space group R-3m (No. 166, hexagonal axes)
One atom of each set of equivalent atoms:
Ce1 0.0000 0.0000 0.0000 x3
Pm1 0.0000 0.0000 0.5000 x3
Te1 0.0000 0.0000 0.3971 x6

=====

Entry 2:
## Nd3HoTl4Te8 (PBE-GGA)

Data for crystalline Nd3HoTl4Te8 at its relaxed geometry.

Computed properties:
As for the theoretical density: 6930 kg/m3. The value obtained for the formation energy without anion corrections is -1.066 eV/atom. The value obtained for the total magnetic moment is 0.00 μB/f.u.

a = 9.0745 Å, b = 9.0745 Å, c = 24.5532 Å
α = 90.00°, β = 90.00°, γ = 120.00°
Space group R-3m (No. 166, hexagonal axes)
One atom of each set of equivalent atoms:
Nd1 0.0000 0.5000 0.0000 x9
Ho1 0.0000 0.0000 0.0000 x3
Tl1 0.0000 0.0000 0.5000 x3
Tl2 0.0000 0.5000 0.5000 x9
Te1 0.0000 0.0000 0.2594 x6
Te2 0.0079 0.5040 0.7391 x18

=====

Number 1: uncorrected energy -61.08 eV for the cell shown. Number 2: uncorrected energy -211.61 eV for the cell shown.